Material: Ni
Method: DFT, meta-GGA SCAN
State: PBEsol geometry

Values from the calculation:
ΔH_f (0 K)   0.047 eV per atom
Size of the total moment   1.48 Bohr magnetons per cell
SG   P6_3/mmc
VASP energy   -16.127 eV/atom

Unit cell a=2.447 b=2.447 c=4.006 alpha=90.00 beta=90.00 gamma=120.00
Positions (direct):
1 Ni 0.333 0.667 0.250
2 Ni 0.667 0.333 0.750